# 1
This record from the Alexandria database describes a geometry-optimized MgTlNi2 structure. The functional is PBE-GGA.

abc: 8.368 8.368 8.368
angles: 21.10 21.10 21.10
Fractional coordinates of all 4 atoms:
Mg (0.000, 0.000, 0.000)
Tl (0.500, 0.500, 0.500)
Ni (0.252, 0.252, 0.252)
Ni (0.748, 0.748, 0.748)

Output
The value obtained for the density of states at the Fermi level is 2.7 states/eV/cell. As for the symmetry: R-3m, No. 166. The magnetic moment is 0.00 μB/f.u. The total energy comes out at -3.60 eV per atom.

---

# 2
This record from the Alexandria database describes a geometry-optimized ZrScRe2 structure. The functional is PBE-GGA.

abc: 5.362 5.362 2.858
angles: 101.28 101.28 114.97
Fractional coordinates of all 4 atoms:
Zr (0.000, 0.000, 0.000)
Sc (0.500, 0.500, 0.000)
Re (0.000, 0.500, 0.500)
Re (0.500, 0.000, 0.500)

Output
The value obtained for the density of states at the Fermi level is 3.7 states/eV/cell. As for the symmetry: C2/m, No. 12. The magnetic moment is 0.00 μB/f.u. The total energy comes out at -9.93 eV per atom.

---

# 3
This record from the Alexandria database describes a geometry-optimized Pr4PtAuCl2 structure. The functional is PBE-GGA.

abc: 7.403 4.260 7.678
angles: 90.00 108.81 90.00
Fractional coordinates of all 8 atoms:
Pr (0.235, 0.000, 0.222)
Pr (0.245, 0.500, 0.771)
Pr (0.755, 0.500, 0.229)
Pr (0.765, 0.000, 0.778)
Pt (0.000, 0.500, 0.000)
Au (0.500, 0.000, 0.000)
Cl (0.000, 0.000, 0.500)
Cl (0.500, 0.500, 0.500)

Output
The value obtained for the density of states at the Fermi level is 6.8 states/eV/cell. As for the symmetry: P2/m, No. 10. The magnetic moment is 0.00 μB/f.u. The total energy comes out at -5.21 eV per atom.

---

# 4
This record from the Alexandria database describes a geometry-optimized Pr4Mg3Bi structure. The functional is PBE-GGA.

abc: 9.664 9.664 9.664
angles: 33.40 33.40 33.40
Fractional coordinates of all 8 atoms:
Pr (0.125, 0.125, 0.125)
Pr (0.375, 0.375, 0.375)
Pr (0.625, 0.625, 0.625)
Pr (0.875, 0.875, 0.875)
Mg (0.000, 0.000, 0.000)
Mg (0.256, 0.256, 0.256)
Mg (0.744, 0.744, 0.744)
Bi (0.500, 0.500, 0.500)

Output
The value obtained for the density of states at the Fermi level is 7.3 states/eV/cell. As for the symmetry: R-3m, No. 166. The magnetic moment is 0.00 μB/f.u. The total energy comes out at -3.75 eV per atom.

---

# 5
This record from the Alexandria database describes a geometry-optimized GdErMgZr structure. The functional is PBE-GGA.

abc: 5.341 5.341 5.341
angles: 60.00 60.00 60.00
Fractional coordinates of all 4 atoms:
Gd (0.000, 0.000, 0.000)
Er (0.500, 0.500, 0.500)
Mg (0.250, 0.250, 0.250)
Zr (0.750, 0.750, 0.750)

Output
The value obtained for the density of states at the Fermi level is 6.2 states/eV/cell. As for the symmetry: F-43m, No. 216. The magnetic moment is 5.24 μB/f.u. The total energy comes out at -7.06 eV per atom.

---

# 6
This record from the Alexandria database describes a geometry-optimized PrTaMnGe2 structure. The functional is PBE-GGA.

abc: 6.583 6.583 6.583
angles: 144.13 144.13 51.64
Fractional coordinates of all 5 atoms:
Pr (0.000, 0.000, 0.000)
Ta (0.250, 0.750, 0.500)
Mn (0.750, 0.250, 0.500)
Ge (0.388, 0.388, 0.000)
Ge (0.612, 0.612, 0.000)

Output
The value obtained for the density of states at the Fermi level is 3.9 states/eV/cell. As for the symmetry: I-4m2, No. 119. The magnetic moment is 1.93 μB/f.u. The total energy comes out at -7.44 eV per atom.

---

# 7
This record from the Alexandria database describes a geometry-optimized Sc5SiTe5 structure. The functional is PBE-GGA.

abc: 7.103 7.103 8.171
angles: 107.02 107.02 48.18
Fractional coordinates of all 11 atoms:
Sc (0.000, 0.000, 0.000)
Sc (0.344, 0.344, 0.157)
Sc (0.346, 0.346, 0.687)
Sc (0.654, 0.654, 0.313)
Sc (0.656, 0.656, 0.843)
Si (0.500, 0.500, 0.000)
Te (0.164, 0.164, 0.825)
Te (0.172, 0.172, 0.335)
Te (0.500, 0.500, 0.500)
Te (0.828, 0.828, 0.665)
Te (0.836, 0.836, 0.175)

Output
The value obtained for the density of states at the Fermi level is 3.0 states/eV/cell. As for the symmetry: C2/m, No. 12. The magnetic moment is 0.00 μB/f.u. The total energy comes out at -5.92 eV per atom.

---

# 8
This record from the Alexandria database describes a geometry-optimized TbPrHgRu structure. The functional is PBE-GGA.

abc: 5.143 5.143 5.143
angles: 60.00 60.00 60.00
Fractional coordinates of all 4 atoms:
Tb (0.000, 0.000, 0.000)
Pr (0.500, 0.500, 0.500)
Hg (0.750, 0.750, 0.750)
Ru (0.250, 0.250, 0.250)

Output
The polymorph energy (0 for the lowest one) comes out at 102.4 meV per atom. The value obtained for the density of states at the Fermi level is 3.0 states/eV/cell. As for the symmetry: F-43m, No. 216. The magnetic moment is 0.00 μB/f.u. The total energy comes out at -5.02 eV per atom.

---

# 9
This record from the Alexandria database describes a geometry-optimized Cs2BaSrI6 structure. The functional is PBE-GGA.

abc: 9.363 9.363 9.363
angles: 60.00 60.00 60.00
Fractional coordinates of all 10 atoms:
Cs (0.250, 0.250, 0.250)
Cs (0.750, 0.750, 0.750)
Ba (0.000, 0.000, 0.000)
Sr (0.500, 0.500, 0.500)
I (0.256, 0.256, 0.744)
I (0.256, 0.744, 0.256)
I (0.256, 0.744, 0.744)
I (0.744, 0.256, 0.256)
I (0.744, 0.256, 0.744)
I (0.744, 0.744, 0.256)

Output
The polymorph energy (0 for the lowest one) comes out at 41.8 meV per atom. The value obtained for the density of states at the Fermi level is 0.0 states/eV/cell. As for the symmetry: Fm-3m, No. 225. The magnetic moment is 0.00 μB/f.u. The total energy comes out at -3.09 eV per atom.

---

# 10
This record from the Alexandria database describes a geometry-optimized ZrReW4 structure. The functional is PBE-GGA.

abc: 5.299 5.299 5.299
angles: 60.00 60.00 60.00
Fractional coordinates of all 6 atoms:
Zr (0.000, 0.000, 0.000)
Re (0.750, 0.750, 0.750)
W (0.375, 0.375, 0.375)
W (0.375, 0.375, 0.876)
W (0.375, 0.876, 0.375)
W (0.876, 0.375, 0.375)

Output
The value obtained for the density of states at the Fermi level is 9.0 states/eV/cell. As for the symmetry: F-43m, No. 216. The magnetic moment is 0.00 μB/f.u. The total energy comes out at -11.89 eV per atom.

---

# 11
This record from the Alexandria database describes a geometry-optimized Ac2MgScIn6 structure. The functional is PBE-GGA.

abc: 6.242 7.400 7.560
angles: 74.58 67.57 68.45
Fractional coordinates of all 10 atoms:
Ac (0.006, 0.253, 0.253)
Ac (0.994, 0.747, 0.747)
Mg (0.500, 0.000, 0.500)
Sc (0.500, 0.500, 0.000)
In (0.007, 0.763, 0.222)
In (0.364, 0.418, 0.419)
In (0.498, 0.189, 0.807)
In (0.502, 0.811, 0.193)
In (0.636, 0.582, 0.581)
In (0.993, 0.237, 0.778)

Output
The value obtained for the density of states at the Fermi level is 6.0 states/eV/cell. As for the symmetry: P-1, No. 2. The magnetic moment is 0.00 μB/f.u. The total energy comes out at -3.50 eV per atom.